No. 1
## ReSbMo (PBE)

Data for crystalline ReSbMo at its relaxed geometry.

Unit cell a=5.6694 b=5.6693 c=3.1266 alpha=73.99 beta=73.99 gamma=32.01
Closest atoms and distances in Å follow each position.
Sites, in units of the cell vectors:
Mo: 0.9940 0.9940 0.0060  4 Re 2.76, 4 Sb 2.87
Re: 0.3362 0.3362 0.6638  4 Mo 2.76, 4 Sb 2.81
Sb: 0.6698 0.6698 0.3302  4 Re 2.81, 4 Mo 2.87, 4 Sb 3.13

Values from the calculation:
Formation energy (no corrections) = 376 meV per atom
Excess energy over the best structure of this formula in the dataset = 0.118 eV/atom

---

No. 2
## ReSb2Mo (PBE)

Data for crystalline ReSb2Mo at its relaxed geometry.

Unit cell a=6.3114 b=6.3114 c=6.3114 alpha=150.40 beta=140.80 gamma=49.88
Closest atoms and distances in Å follow each position.
Sites, in units of the cell vectors:
Sb: 0.9645 0.9645 0.0000  2 Re 2.78, 4 Mo 2.85
Sb: 0.2153 0.7153 0.5000  4 Re 2.73, 2 Mo 2.81
Re: 0.7665 0.2665 0.5000  6 Sb 2.73-2.78, 2 Mo 2.92
Mo: 0.5536 0.5536 0.0000  6 Sb 2.81-2.85, 2 Re 2.92

Values from the calculation:
Formation energy (no corrections) = 484 meV per atom
Excess energy over the best structure of this formula in the dataset = 0.322 eV/atom

---

No. 3
## ReSb2Mo (PBE)

Data for crystalline ReSb2Mo at its relaxed geometry.

Unit cell a=3.1466 b=3.1466 c=8.6241 alpha=90.00 beta=90.00 gamma=116.20
Closest atoms and distances in Å follow each position.
Sites, in units of the cell vectors:
Mo: 0.5000 0.5000 0.2500  4 Sb 2.73
Sb: 0.0000 0.0000 0.5015  2 Re 2.71, 2 Mo 2.73
Sb: 0.0000 0.0000 0.9985  2 Re 2.71, 2 Mo 2.73
Re: 0.5000 0.5000 0.7500  4 Sb 2.71

Values from the calculation:
Formation energy (no corrections) = 824 meV per atom
Excess energy over the best structure of this formula in the dataset = 0.662 eV/atom